Computed, not measured: a geometry-optimized Pm2Ga4Rh3Au structure at the PBE level of DFT.

POSCAR file:
```
Pm2Ga4Rh3Au
1.0
4.279 0.000 0.000
0.000 4.279 0.000
0.000 0.000 10.393
Pm Ga Rh Au
2 4 3 1
Direct
0.000 0.500 0.248
0.500 0.000 0.752
0.000 0.000 0.000
0.000 0.500 0.637
0.500 0.000 0.363
0.500 0.500 0.000
0.000 0.500 0.873
0.500 0.000 0.127
0.500 0.500 0.500
0.000 0.000 0.500
```

## Properties
Formation enthalpy at 0 K   -70.6 kJ per mole of atoms
Space-group type   No. 115

***

Computed, not measured: a geometry-optimized Nd8Sm6Tm structure at the PBE level of DFT.

POSCAR file:
```
Nd8Sm6Tm
1.0
9.513 0.000 0.000
-4.756 8.238 0.000
0.000 0.000 6.681
Nd Sm Tm
8 6 1
Direct
0.031 0.282 0.335
0.251 0.969 0.335
0.282 0.251 0.665
0.333 0.667 0.385
0.667 0.333 0.615
0.718 0.749 0.335
0.749 0.031 0.665
0.969 0.718 0.665
0.087 0.433 0.842
0.345 0.913 0.842
0.433 0.345 0.158
0.567 0.655 0.842
0.655 0.087 0.158
0.913 0.567 0.158
0.000 0.000 0.000
```

## Properties
Formation enthalpy at 0 K   15.6 kJ per mole of atoms
Space-group type   No. 147